Here is GaSn after structural relaxation from Alexandria via LeMat-Bulk. Energies are from PBE. Values from VASP.

Results
energy of formation from the pure elements = 78 meV per atom

Geometry as Quantum ESPRESSO input:
```
&SYSTEM
  ibrav = 0, nat = 16, ntyp = 2
/
ATOMIC_SPECIES
Ga 69.72 Ga.upf
Sn 118.71 Sn.upf
CELL_PARAMETERS angstrom
6.263 0.000 0.000
0.000 7.840 0.000
0.000 0.000 8.601
ATOMIC_POSITIONS crystal
Ga 0.014 0.086 0.360
Ga 0.125 0.576 0.593
Ga 0.375 0.424 0.093
Ga 0.486 0.914 0.860
Ga 0.514 0.414 0.640
Ga 0.625 0.924 0.407
Ga 0.875 0.076 0.907
Ga 0.986 0.586 0.140
Sn 0.060 0.387 0.858
Sn 0.146 0.909 0.102
Sn 0.354 0.091 0.602
Sn 0.440 0.613 0.358
Sn 0.560 0.113 0.142
Sn 0.646 0.591 0.898
Sn 0.854 0.409 0.398
Sn 0.940 0.887 0.642
```



Here is Ag2SnAu2 after structural relaxation from Alexandria via LeMat-Bulk. Energies are from PBE. Values from VASP.

Results
energy of formation from the pure elements = 8 meV per atom

Geometry as Quantum ESPRESSO input:
```
&SYSTEM
  ibrav = 0, nat = 10, ntyp = 3
/
ATOMIC_SPECIES
Ag 107.87 Ag.upf
Sn 118.71 Sn.upf
Au 196.97 Au.upf
CELL_PARAMETERS angstrom
8.027 0.000 0.000
0.000 8.027 0.000
0.000 0.000 3.125
ATOMIC_POSITIONS crystal
Ag 0.127 0.373 0.000
Ag 0.373 0.873 0.000
Ag 0.627 0.127 0.000
Ag 0.873 0.627 0.000
Sn 0.000 0.000 0.000
Sn 0.500 0.500 0.000
Au 0.169 0.669 0.500
Au 0.331 0.169 0.500
Au 0.669 0.831 0.500
Au 0.831 0.331 0.500
```



Here is MnCoTcHOs after structural relaxation from Alexandria via LeMat-Bulk. Energies are from PBE. Values from VASP.

Results
total energy = -8.1773 eV/atom

Geometry as Quantum ESPRESSO input:
```
&SYSTEM
  ibrav = 0, nat = 10, ntyp = 5
/
ATOMIC_SPECIES
Mn 54.94 Mn.upf
Co 58.93 Co.upf
Tc 98.00 Tc.upf
H 1.01 H.upf
Os 190.23 Os.upf
CELL_PARAMETERS angstrom
4.023 0.000 0.000
0.000 2.668 0.000
0.000 0.000 9.703
ATOMIC_POSITIONS crystal
Mn 0.000 0.000 0.000
Mn 0.000 0.500 0.500
Co 0.500 0.000 0.873
Co 0.500 0.500 0.373
Tc 0.000 0.000 0.277
Tc 0.000 0.500 0.777
H 0.000 0.000 0.626
H 0.000 0.500 0.126
Os 0.500 0.000 0.606
Os 0.500 0.500 0.106
```



Here is Ba3Zn5Si2 after structural relaxation from Alexandria via LeMat-Bulk. Energies are from PBE. Values from VASP.

Results
raw formation energy = -0.16 eV/atom

Geometry as Quantum ESPRESSO input:
```
&SYSTEM
  ibrav = 0, nat = 20, ntyp = 3
/
ATOMIC_SPECIES
Ba 137.33 Ba.upf
Zn 65.41 Zn.upf
Si 28.09 Si.upf
CELL_PARAMETERS angstrom
-5.182 7.368 3.339
5.182 -7.368 3.339
5.182 7.368 -3.339
ATOMIC_POSITIONS crystal
Ba 0.135 0.725 0.860
Ba 0.250 0.250 0.000
Ba 0.365 0.225 0.590
Ba 0.635 0.775 0.410
Ba 0.750 0.750 0.000
Ba 0.865 0.275 0.140
Zn 0.010 0.250 0.760
Zn 0.126 0.384 0.510
Zn 0.250 0.750 0.500
Zn 0.374 0.884 0.258
Zn 0.490 0.250 0.240
Zn 0.510 0.750 0.760
Zn 0.626 0.116 0.742
Zn 0.750 0.250 0.500
Zn 0.874 0.616 0.490
Zn 0.990 0.750 0.240
Si 0.156 0.144 0.299
Si 0.344 0.644 0.988
Si 0.656 0.356 0.012
Si 0.844 0.856 0.701
```



Here is ReNi3B after structural relaxation from Alexandria via LeMat-Bulk. Energies are from PBE. Values from VASP.

Results
energy of formation from the pure elements = 2207 meV per atom

Geometry as Quantum ESPRESSO input:
```
&SYSTEM
  ibrav = 0, nat = 5, ntyp = 3
/
ATOMIC_SPECIES
Re 186.21 Re.upf
Ni 58.69 Ni.upf
B 10.81 B.upf
CELL_PARAMETERS angstrom
4.498 0.000 0.000
0.000 4.498 0.000
0.000 0.000 4.498
ATOMIC_POSITIONS crystal
Re 0.000 0.000 0.000
Ni 0.000 0.000 0.500
Ni 0.000 0.500 0.000
Ni 0.500 0.000 0.000
B 0.500 0.500 0.500
```



Here is Tm2BiTe after structural relaxation from Alexandria via LeMat-Bulk. Energies are from PBE. Values from VASP.

Results
raw formation energy = -0.99 eV/atom

Geometry as Quantum ESPRESSO input:
```
&SYSTEM
  ibrav = 0, nat = 12, ntyp = 3
/
ATOMIC_SPECIES
Tm 168.93 Tm.upf
Bi 208.98 Bi.upf
Te 127.60 Te.upf
CELL_PARAMETERS angstrom
4.380 0.000 0.000
-2.190 3.793 0.000
0.000 0.000 21.304
ATOMIC_POSITIONS crystal
Tm 0.000 0.000 0.250
Tm 0.000 0.000 0.750
Tm 0.333 0.667 0.417
Tm 0.333 0.667 0.917
Tm 0.667 0.333 0.083
Tm 0.667 0.333 0.583
Bi 0.000 0.000 0.000
Bi 0.333 0.667 0.667
Bi 0.667 0.333 0.333
Te 0.000 0.000 0.500
Te 0.333 0.667 0.167
Te 0.667 0.333 0.833
```



Here is Dy2HoAl9 after structural relaxation from Alexandria via LeMat-Bulk. Energies are from PBE. Values from VASP.

Results
energy of formation from the pure elements = -421 meV per atom

Geometry as Quantum ESPRESSO input:
```
&SYSTEM
  ibrav = 0, nat = 12, ntyp = 3
/
ATOMIC_SPECIES
Dy 162.50 Dy.upf
Ho 164.93 Ho.upf
Al 26.98 Al.upf
CELL_PARAMETERS angstrom
4.254 0.000 0.000
0.000 4.254 0.000
0.000 0.000 12.762
ATOMIC_POSITIONS crystal
Dy 0.000 0.000 0.167
Dy 0.000 0.000 0.833
Ho 0.000 0.000 0.500
Al 0.000 0.500 0.000
Al 0.000 0.500 0.334
Al 0.000 0.500 0.666
Al 0.500 0.000 0.000
Al 0.500 0.000 0.334
Al 0.500 0.000 0.666
Al 0.500 0.500 0.167
Al 0.500 0.500 0.500
Al 0.500 0.500 0.833
```



Here is LaIn6Pd4 after structural relaxation from Alexandria via LeMat-Bulk. Energies are from PBE. Values from VASP.

Results
energy of formation from the pure elements = -545 meV per atom

Geometry as Quantum ESPRESSO input:
```
&SYSTEM
  ibrav = 0, nat = 11, ntyp = 3
/
ATOMIC_SPECIES
La 138.91 La.upf
In 114.82 In.upf
Pd 106.42 Pd.upf
CELL_PARAMETERS angstrom
7.873 0.000 0.000
-3.936 6.818 0.000
0.000 0.000 4.397
ATOMIC_POSITIONS crystal
La 0.000 0.000 0.000
In 0.195 0.391 0.500
In 0.195 0.805 0.500
In 0.535 0.069 0.000
In 0.535 0.465 0.000
In 0.609 0.805 0.500
In 0.931 0.465 0.000
Pd 0.333 0.667 0.000
Pd 0.411 0.205 0.500
Pd 0.795 0.205 0.500
Pd 0.795 0.589 0.500
```



Here is LiTlCdHg2 after structural relaxation from Alexandria via LeMat-Bulk. Energies are from PBE. Values from VASP.

Results
energy of formation from the pure elements = -60 meV per atom

Geometry as Quantum ESPRESSO input:
```
&SYSTEM
  ibrav = 0, nat = 5, ntyp = 4
/
ATOMIC_SPECIES
Li 6.94 Li.upf
Tl 204.38 Tl.upf
Cd 112.41 Cd.upf
Hg 200.59 Hg.upf
CELL_PARAMETERS angstrom
4.996 0.000 0.000
-2.498 4.327 0.000
0.000 0.000 6.089
ATOMIC_POSITIONS crystal
Li 0.000 0.000 0.000
Tl 0.667 0.333 0.319
Cd 0.333 0.667 0.658
Hg 0.000 0.000 0.536
Hg 0.333 0.667 0.131
```



Here is La4Cr after structural relaxation from Alexandria via LeMat-Bulk. Energies are from PBE. Values from VASP.

Results
energy of formation from the pure elements = 351 meV per atom

Geometry as Quantum ESPRESSO input:
```
&SYSTEM
  ibrav = 0, nat = 5, ntyp = 2
/
ATOMIC_SPECIES
La 138.91 La.upf
Cr 52.00 Cr.upf
CELL_PARAMETERS angstrom
5.492 0.000 0.000
0.000 5.492 0.000
0.000 0.000 5.492
ATOMIC_POSITIONS crystal
La 0.000 0.000 0.000
La 0.000 0.500 0.500
La 0.500 0.000 0.500
La 0.500 0.500 0.000
Cr 0.500 0.500 0.500
```



Here is KCuGe3 after structural relaxation from Alexandria via LeMat-Bulk. Energies are from PBE. Values from VASP.

Results
energy of formation from the pure elements = 330 meV per atom

Geometry as Quantum ESPRESSO input:
```
&SYSTEM
  ibrav = 0, nat = 5, ntyp = 3
/
ATOMIC_SPECIES
K 39.10 K.upf
Cu 63.55 Cu.upf
Ge 72.64 Ge.upf
CELL_PARAMETERS angstrom
4.911 0.000 0.000
0.000 4.911 0.000
0.000 0.000 4.911
ATOMIC_POSITIONS crystal
K 0.000 0.000 0.000
Cu 0.500 0.500 0.500
Ge 0.000 0.500 0.500
Ge 0.500 0.000 0.500
Ge 0.500 0.500 0.000
```



Here is LiGaS2 after structural relaxation from Alexandria via LeMat-Bulk. Energies are from PBE. Values from VASP.

Results
raw formation energy = -0.82 eV/atom

Geometry as Quantum ESPRESSO input:
```
&SYSTEM
  ibrav = 0, nat = 16, ntyp = 3
/
ATOMIC_SPECIES
Li 6.94 Li.upf
Ga 69.72 Ga.upf
S 32.06 S.upf
CELL_PARAMETERS angstrom
5.170 0.000 0.000
0.000 5.170 0.000
0.000 0.000 10.184
ATOMIC_POSITIONS crystal
Li 0.000 0.250 0.375
Li 0.000 0.750 0.625
Li 0.500 0.250 0.125
Li 0.500 0.750 0.875
Ga 0.000 0.250 0.875
Ga 0.000 0.750 0.125
Ga 0.500 0.250 0.625
Ga 0.500 0.750 0.375
S 0.000 0.250 0.104
S 0.000 0.250 0.646
S 0.000 0.750 0.354
S 0.000 0.750 0.896
S 0.500 0.250 0.396
S 0.500 0.250 0.854
S 0.500 0.750 0.146
S 0.500 0.750 0.604
```



The evaluated DOS at the Fermi energy for the records listed, in turn: 0.44 2.02 3.90 4.09 5.59 1.95 4.96 5.98 1.68 8.90 3.29 0.00 states/eV/f.u..